No. 1
ZnCd2In8 PBE relaxed; formation energy from the elements = 0.49 eV/f.u.; DOS(E_F) = 3.69 states/eV/cell
1.0
4.641 0.000 0.000
0.000 4.641 0.000
0.000 0.000 13.267
Zn Cd In
1 2 8
Cartesian
0.000 0.000 0.000 Zn
0.000 0.000 4.264 Cd
0.000 0.000 9.002 Cd
0.000 2.320 1.785 In
0.000 2.320 6.633 In
0.000 2.320 11.482 In
2.320 0.000 1.785 In
2.320 0.000 6.633 In
2.320 0.000 11.482 In
2.320 2.320 4.137 In
2.320 2.320 9.129 In



No. 2
TiTc3Rh PBE relaxed; formation energy from the elements = 6.92 eV/f.u.; energy above the lowest structure with this stoichiometry = 0 meV per atom; DOS(E_F) = 7.99 states/eV/cell
1.0
4.435 0.000 0.000
0.000 4.435 0.000
0.000 0.000 4.435
Ti Tc Rh
1 3 1
Cartesian
0.000 0.000 0.000 Ti
0.000 0.000 2.217 Tc
0.000 2.217 0.000 Tc
2.217 0.000 0.000 Tc
2.217 2.217 2.217 Rh



No. 3
Tb4ZnPt PBE relaxed; formation energy from the elements = -2.44 eV/f.u.; energy above the lowest structure with this stoichiometry = 166 meV per atom; DOS(E_F) = 8.29 states/eV/cell
1.0
4.904 0.000 0.000
0.000 4.904 0.000
0.000 0.000 7.016
Tb Zn Pt
4 1 1
Cartesian
0.000 2.452 1.706 Tb
0.000 2.452 5.310 Tb
2.452 0.000 1.706 Tb
2.452 0.000 5.310 Tb
0.000 0.000 3.508 Zn
2.452 2.452 0.000 Pt



No. 4
TcSbTeH2 PBE relaxed; E_tot = -22.22 eV per cell; DOS(E_F) = 3.04 states/eV/cell
1.0
3.827 0.000 0.000
0.000 3.827 0.000
0.000 0.000 5.605
Tc Sb Te H
1 1 1 2
Cartesian
0.000 0.000 0.000 Tc
0.000 0.000 2.803 Sb
1.914 1.914 0.000 Te
0.000 1.914 2.803 H
1.914 0.000 2.803 H



No. 5
Pu2Zn3Os PBE relaxed; formation energy from the elements = -0.72 eV/f.u.; DOS(E_F) = 15.37 states/eV/cell
1.0
4.527 -2.629 0.000
4.527 2.629 0.000
-3.019 0.000 4.582
Pu Zn Os
2 3 1
Cartesian
0.001 0.000 1.829 Pu
6.034 0.000 2.753 Pu
2.264 1.315 0.000 Zn
2.264 -1.315 0.000 Zn
4.527 0.000 0.000 Zn
3.017 0.000 2.291 Os



No. 6
Dy8SiP3Se4 PBE relaxed; formation energy from raw total energies = -1.67 eV per atom; DOS(E_F) = 4.62 states/eV/cell
1.0
4.045 2.335 6.706
-4.045 2.335 6.706
0.000 -4.671 6.706
Dy Si P Se
8 1 3 4
Cartesian
0.000 0.000 4.883 Dy
-2.025 -1.169 11.608 Dy
0.000 -2.339 8.510 Dy
-2.025 1.169 8.510 Dy
2.025 -1.169 11.608 Dy
0.000 2.339 11.608 Dy
2.025 1.169 8.510 Dy
0.000 0.000 15.235 Dy
0.000 0.000 10.059 Si
-4.045 0.000 10.059 P
-2.022 1.168 3.353 P
2.022 1.168 3.353 P
0.000 0.000 0.000 Se
-2.022 -1.168 6.706 Se
-2.022 1.168 13.412 Se
0.000 2.335 6.706 Se



No. 7
Y2ScAlRh PBE relaxed; formation energy from the elements = 0.92 eV/f.u.; energy above the lowest structure with this stoichiometry = 0 meV per atom; DOS(E_F) = 9.41 states/eV/cell
1.0
5.490 0.000 0.000
0.000 5.490 0.000
0.000 0.000 4.450
Y Sc Al Rh
2 1 1 1
Cartesian
0.000 2.745 0.000 Y
2.745 0.000 0.000 Y
0.000 0.000 2.225 Sc
2.745 2.745 0.000 Al
2.745 2.745 2.225 Rh



No. 8
CsMgSeBr2 PBE relaxed; formation energy from raw total energies = -1.16 eV per atom; DOS(E_F) = 3.48 states/eV/cell
1.0
5.554 0.000 0.000
0.000 5.554 0.000
0.000 0.000 5.270
Cs Mg Se Br
1 1 1 2
Cartesian
0.000 0.000 0.000 Cs
2.777 2.777 2.635 Mg
2.777 2.777 0.000 Se
0.000 2.777 2.635 Br
2.777 0.000 2.635 Br